The following is a PBE calculation of an optimized crystal structure of Th8AsC3Se4, from the Alexandria database.

POSCAR file:
```
Th8AsC3Se4
1.0
7.9856 0.0000 0.0000
0.0000 8.3305 0.2392
-3.9928 -3.9902 5.6495
Th As C Se
8 1 3 4
direct
0.2484 0.7102 0.9618
0.2484 0.7101 0.4967
0.2664 0.2992 0.5328
0.7134 0.7102 0.9618
0.2866 0.2898 0.0382
0.7336 0.7008 0.4672
0.7516 0.2899 0.5033
0.7516 0.2898 0.0382
0.0000 0.5000 0.0000
0.5000 0.5000 0.0000
0.5000 0.5000 0.5000
0.0000 0.5000 0.5000
0.5000 0.0000 0.0000
0.5000 0.0000 0.5000
0.0000 0.0000 0.0000
0.0000 0.0000 0.5000
```

Calculated values
ΔE_f (raw) ... -1137 meV/atom
Crystal system ... trigonal
Magnetization ... 0.00 μB/cell

***

The following is a PBE calculation of an optimized crystal structure of Th6As2C3Se, from the Alexandria database.

POSCAR file:
```
Th6As2C3Se
1.0
-1.9143 3.2146 -1.2048
-7.0888 -4.1903 0.0834
1.9405 2.0063 8.6820
Th As C Se
6 2 3 1
direct
0.3234 0.9387 0.6468
0.6587 0.6042 0.3174
0.6766 0.0613 0.3532
0.9902 0.2771 0.9803
0.0098 0.7229 0.0197
0.3413 0.3958 0.6826
0.8348 0.6693 0.6697
0.1652 0.3307 0.3303
0.5000 0.5000 0.0000
0.8327 0.1645 0.6654
0.1673 0.8355 0.3346
0.5000 0.0000 0.0000
```

Calculated values
ΔE_f (raw) ... -922 meV/atom
Crystal system ... monoclinic
Magnetization ... 0.00 μB/cell

***

The following is a PBE calculation of an optimized crystal structure of Th4As2CSe, from the Alexandria database.

POSCAR file:
```
Th4As2CSe
1.0
4.0855 0.0000 0.0000
0.0000 7.1526 -0.1669
0.0000 2.4955 6.7997
Th As C Se
4 2 1 1
direct
0.0000 0.7333 0.7279
0.0000 0.2667 0.2721
0.5000 0.7203 0.2821
0.5000 0.2797 0.7179
0.0000 0.0000 0.0000
0.5000 0.0000 0.5000
0.0000 0.5000 0.5000
0.5000 0.5000 0.0000
```

Calculated values
ΔE_f (raw) ... -1139 meV/atom
Crystal system ... monoclinic
Magnetization ... 0.00 μB/cell

***

The following is a PBE calculation of an optimized crystal structure of TiAsCSe2, from the Alexandria database.

POSCAR file:
```
TiAsCSe2
1.0
-3.0055 -3.1588 0.0888
1.8788 -1.6877 3.5554
-2.5155 2.4637 2.4988
As C Se Ti
1 1 2 1
direct
0.0000 0.0000 0.5000
0.0000 0.0000 0.0000
0.0000 0.5000 0.0000
0.5000 0.0000 0.0000
0.5000 0.5000 0.5000
```

Calculated values
ΔE_f (raw) ... 801 meV/atom
Crystal system ... tetragonal
Magnetization ... 0.00 μB/cell
E above lowest polymorph ... 0 meV/atom

***

The following is a PBE calculation of an optimized crystal structure of TiAsCSe2, from the Alexandria database.

POSCAR file:
```
TiAsCSe2
1.0
-1.9880 -2.5618 3.6160
1.7737 -4.0919 -1.9238
4.1516 0.5450 2.6686
As C Se Ti
1 1 2 1
direct
0.0000 0.0000 0.5000
0.5000 0.5000 0.5000
0.0000 0.5000 0.0000
0.5000 0.0000 0.0000
0.0000 0.0000 0.0000
```

Calculated values
ΔE_f (raw) ... 1228 meV/atom
Crystal system ... tetragonal
Magnetization ... 1.34 μB/cell
E above lowest polymorph ... 427 meV/atom

***

The following is a PBE calculation of an optimized crystal structure of TlAsCSe2, from the Alexandria database.

POSCAR file:
```
TlAsCSe2
1.0
4.6421 0.0000 0.0000
0.0000 4.6421 0.0000
0.0000 0.0000 4.5286
C Tl As Se
1 1 1 2
direct
0.0000 0.0000 0.0000
0.5000 0.5000 0.5000
0.0000 0.0000 0.5000
0.0000 0.5000 0.0000
0.5000 0.0000 0.0000
```

Calculated values
ΔE_f (raw) ... 967 meV/atom
Crystal system ... tetragonal
Magnetization ... 0.00 μB/cell
E above lowest polymorph ... 0 meV/atom

***

The following is a PBE calculation of an optimized crystal structure of TlAsCSe2, from the Alexandria database.

POSCAR file:
```
TlAsCSe2
1.0
5.4501 0.0000 0.0000
0.0000 5.3773 0.0000
0.0000 0.0000 5.4501
C Tl As Se
1 1 1 2
direct
0.5000 0.5000 0.5000
0.0000 0.0000 0.0000
0.0000 0.5000 0.0000
0.0000 0.0000 0.5000
0.5000 0.0000 0.0000
```

Calculated values
ΔE_f (raw) ... 2229 meV/atom
Crystal system ... tetragonal
Magnetization ... 2.25 μB/cell
E above lowest polymorph ... 1262 meV/atom

***

The following is a PBE calculation of an optimized crystal structure of Tm4AsCSe2, from the Alexandria database.

POSCAR file:
```
Tm4AsCSe2
1.0
3.8647 0.0000 0.0000
0.0000 6.8038 0.1368
0.0000 -2.3573 6.4743
Tm As C Se
4 1 1 2
direct
0.5000 0.2165 0.2111
0.5000 0.7835 0.7889
0.0000 0.2310 0.7801
0.0000 0.7690 0.2199
0.5000 0.5000 0.0000
0.0000 0.0000 0.0000
0.5000 0.0000 0.5000
0.0000 0.5000 0.5000
```

Calculated values
ΔE_f (raw) ... -1397 meV/atom
Crystal system ... monoclinic
Magnetization ... 0.00 μB/cell